(1)
Crystalline Cr2AuBr at its relaxed geometry, computed with PBE.

a = 3.3663 Å, b = 3.3663 Å, c = 6.8469 Å
α = 90.00°, β = 90.00°, γ = 90.00°
Last column: nearest neighbours and their distance in Å.
Sites, in units of the cell vectors:
Cr1 0.0000 0.0000 0.0000  4 Cr 2.65, 1 Au 2.66, 4 Br 2.83
Cr2 0.5000 0.5000 0.1700  4 Cr 2.65, 1 Br 2.69, 4 Au 2.81
Au1 0.0000 0.0000 0.3879  5 Cr 2.66-2.81
Br1 0.5000 0.5000 0.7769  5 Cr 2.69-2.83

Raw total energy (eV for the cell shown): -23.24
Energy relative to the elements, uncorrected (meV/atom): 239
E above lowest polymorph (meV/atom): 0.0

***

(2)
Crystalline Cr2AuBr at its relaxed geometry, computed with PBE.

a = 7.8874 Å, b = 7.8874 Å, c = 7.8874 Å
α = 25.65°, β = 25.65°, γ = 25.65°
Last column: nearest neighbours and their distance in Å.
Sites, in units of the cell vectors:
Cr1 0.2468 0.2468 0.2468  3 Au 2.73, 3 Br 2.83
Cr2 0.7532 0.7532 0.7532  3 Au 2.73, 3 Br 2.83
Au1 0.5000 0.5000 0.5000  6 Cr 2.73
Br1 0.0000 0.0000 0.0000  6 Cr 2.83

Raw total energy (eV for the cell shown): -22.77
Energy relative to the elements, uncorrected (meV/atom): 356
E above lowest polymorph (meV/atom): 116.3

***

(3)
Crystalline Cs2CrAuBr6 at its relaxed geometry, computed with PBE.

a = 7.6726 Å, b = 7.6726 Å, c = 7.6726 Å
α = 119.88°, β = 119.88°, γ = 90.20°
Last column: nearest neighbours and their distance in Å.
Sites, in units of the cell vectors:
Cs1 0.2500 0.7500 0.5000  12 Br 3.84-3.85
Cs2 0.7500 0.2500 0.5000  12 Br 3.84-3.85
Cr1 0.0000 0.0000 0.0000  6 Br 2.57-2.58
Au1 0.5000 0.5000 0.0000  6 Br 2.84-2.86
Br1 0.2369 0.2369 0.4738  1 Cr 2.57, 1 Au 2.86
Br2 0.2369 0.7631 0.0000  1 Cr 2.57, 1 Au 2.86
Br3 0.2382 0.2382 0.0000  1 Cr 2.58, 1 Au 2.84
Br4 0.7618 0.7618 0.0000  1 Cr 2.58, 1 Au 2.84
Br5 0.7631 0.2369 0.0000  1 Cr 2.57, 1 Au 2.86
Br6 0.7631 0.7631 0.5262  1 Cr 2.57, 1 Au 2.86

Raw total energy (eV for the cell shown): -34.59
Energy relative to the elements, uncorrected (meV/atom): -994

***

(4)
Crystalline Cr2CuAuBr at its relaxed geometry, computed with PBE.

a = 5.1693 Å, b = 5.1693 Å, c = 4.7666 Å
α = 90.00°, β = 90.00°, γ = 90.00°
Last column: nearest neighbours and their distance in Å.
Sites, in units of the cell vectors:
Cr1 0.0000 0.5000 0.0000  2 Au 2.58
Cr2 0.5000 0.0000 0.0000  2 Au 2.58
Cu1 0.0000 0.0000 0.5000  2 Au 2.38
Au1 0.0000 0.0000 0.0000  2 Cu 2.38, 4 Cr 2.58
Br1 0.5000 0.5000 0.5000  8 Cr 3.52, 4 Cu 3.66

Raw total energy (eV for the cell shown): -24.02
Energy relative to the elements, uncorrected (meV/atom): 854

***

> Look up the energy relative to the elements, uncorrected of the third one.

-994 meV/atom

***

> What is the energy relative to the elements, uncorrected in the second record?

356 meV/atom

***

> Look up the raw total energy of the third one.

-34.59 eV for the cell shown

***

Please write out number 1 again, unchanged.
Crystalline Cr2AuBr at its relaxed geometry, computed with PBE.

a = 3.3663 Å, b = 3.3663 Å, c = 6.8469 Å
α = 90.00°, β = 90.00°, γ = 90.00°
Last column: nearest neighbours and their distance in Å.
Sites, in units of the cell vectors:
Cr1 0.0000 0.0000 0.0000  4 Cr 2.65, 1 Au 2.66, 4 Br 2.83
Cr2 0.5000 0.5000 0.1700  4 Cr 2.65, 1 Br 2.69, 4 Au 2.81
Au1 0.0000 0.0000 0.3879  5 Cr 2.66-2.81
Br1 0.5000 0.5000 0.7769  5 Cr 2.69-2.83

Raw total energy (eV for the cell shown): -23.24
Energy relative to the elements, uncorrected (meV/atom): 239
E above lowest polymorph (meV/atom): 0.0